[1]
# Hf2CdFe

Crystalline Hf2CdFe at its relaxed geometry (PBE, Alexandria).

Lattice parameters (Å, degrees): 3.2279 3.2279 8.8363 79.48 79.48 60.00
Positions (direct):
1 Hf 0.2658 0.2658 0.2027
2 Hf 0.7342 0.7342 0.7973
3 Fe 0.0000 0.0000 0.0000
4 Cd 0.5000 0.5000 0.5000

Space group: R-3m, No. 166
ρ, g/cm3: 11.19

=====

[2]
# HfCd2Fe

Crystalline HfCd2Fe at its relaxed geometry (PBE, Alexandria).

Lattice parameters (Å, degrees): 4.6645 4.6645 4.6645 60.00 60.00 60.00
Positions (direct):
1 Hf 0.5000 0.5000 0.5000
2 Fe 0.0000 0.0000 0.0000
3 Cd 0.2500 0.2500 0.2500
4 Cd 0.7500 0.7500 0.7500

Space group: Fm-3m, No. 225
Relative energy among the computed polymorphs, meV per atom: 0
ρ, g/cm3: 10.62

=====

[3]
# HfCd2Fe

Crystalline HfCd2Fe at its relaxed geometry (PBE, Alexandria).

Lattice parameters (Å, degrees): 7.7889 7.7889 6.1176 50.46 50.46 90.00
Positions (direct):
1 Hf 0.0000 0.0000 0.0000
2 Hf 0.7500 0.2500 0.5000
3 Fe 0.5000 0.5000 0.0000
4 Fe 0.2500 0.7500 0.5000
5 Cd 0.5831 0.1250 0.2500
6 Cd 0.1669 0.6250 0.2500
7 Cd 0.3750 0.4169 0.7500
8 Cd 0.8750 0.8331 0.7500

Space group: I-42d, No. 122
Relative energy among the computed polymorphs, meV per atom: 79
ρ, g/cm3: 9.44

=====

Ordered calculated volume results: 78 72 162; unit Å³/cell.
Ordered ΔH_f (0 K) results: 0.03 0.43 0.51; unit eV per atom.